# 1
Below is MgSc3Mo after structural relaxation, with properties calculated at the PBE level.

The structure in extended XYZ format:
```
5
Lattice="5.088 0.000 0.000 0.000 5.088 0.000 0.000 0.000 5.088" Properties=species:S:1:pos:R:3 pbc="T T T"
Sc 0.000 0.000 2.544
Mo 0.000 0.000 0.000
Sc 2.544 0.000 0.000
Sc 0.000 2.544 0.000
Mg 2.544 2.544 2.544
```

Properties
Its formation energy is 0.43 eV per atom. Its energy above the most stable polymorph in this dataset is 0.0000 eV/atom.


# 2
Below is PmPr3Sn4 after structural relaxation, with properties calculated at the PBE level.

The structure in extended XYZ format:
```
8
Lattice="-3.258 1.878 0.667 -3.679 -5.064 -3.711 2.284 -3.205 9.243" Properties=species:S:1:pos:R:3 pbc="T T T"
Sn -0.123 -2.524 6.504
Pr -0.500 -2.027 3.264
Sn -1.638 -4.609 4.975
Pr -1.839 -2.532 -1.856
Sn -4.529 -3.866 -0.304
Pm -1.629 0.939 0.334
Pr -4.152 -4.363 2.935
Sn -3.015 -1.782 1.224
```

Properties
Its formation energy is -0.58 eV per atom.


Repeat the first record exactly.
Below is MgSc3Mo after structural relaxation, with properties calculated at the PBE level.

The structure in extended XYZ format:
```
5
Lattice="5.088 0.000 0.000 0.000 5.088 0.000 0.000 0.000 5.088" Properties=species:S:1:pos:R:3 pbc="T T T"
Sc 0.000 0.000 2.544
Mo 0.000 0.000 0.000
Sc 2.544 0.000 0.000
Sc 0.000 2.544 0.000
Mg 2.544 2.544 2.544
```

Properties
Its formation energy is 0.43 eV per atom. Its energy above the most stable polymorph in this dataset is 0.0000 eV/atom.